# 1
Density functional theory data (SCAN) for a PBEsol-optimized structure of KRuN2.

* calculated density: 4.872 g/cm3
* calculated volume: 57.3 Å³ per cell
* formation energy without anion corrections: 0.614 eV/atom
* size of the total moment: 0.00 μB per cell

Cell and atoms, written as POSCAR:
```
KRuN2
1.0
1.576 0.910 6.663
-1.576 0.910 6.663
0.000 -1.820 6.663
K Ru N
1 1 2
direct
0.000 0.000 0.000
0.500 0.500 0.500
0.122 0.122 0.122
0.878 0.878 0.878
```



# 2
Density functional theory data (SCAN) for a PBEsol-optimized structure of YNiS2.

* calculated density: 5.396 g/cm3
* calculated volume: 65.2 Å³ per cell
* formation energy without anion corrections: -0.975 eV/atom
* size of the total moment: 1.00 μB per cell

Cell and atoms, written as POSCAR:
```
YNiS2
1.0
0.000 3.194 3.194
3.194 0.000 3.194
3.194 3.194 0.000
Y Ni S
1 1 2
direct
0.000 0.000 0.000
0.500 0.500 0.500
0.250 0.250 0.250
0.750 0.750 0.750
```



# 3
Density functional theory data (SCAN) for a PBEsol-optimized structure of CaYCl.

* calculated density: 3.338 g/cm3
* calculated volume: 81.8 Å³ per cell
* formation energy without anion corrections: -0.980 eV/atom
* size of the total moment: 0.00 μB per cell

Cell and atoms, written as POSCAR:
```
CaYCl
1.0
0.000 3.021 7.233
1.872 0.000 7.233
1.872 3.021 0.000
Ca Y Cl
1 1 1
direct
0.000 0.000 0.000
0.698 0.698 0.302
0.349 0.349 0.651
```



# 4
Density functional theory data (SCAN) for a PBEsol-optimized structure of CoNi2RhN.

* calculated density: 9.423 g/cm3
* calculated volume: 51.7 Å³ per cell
* formation energy without anion corrections: 0.085 eV/atom
* size of the total moment: 4.23 μB per cell

Cell and atoms, written as POSCAR:
```
CoNi2RhN
1.0
3.746 0.000 0.000
0.000 3.746 0.000
0.000 0.000 3.683
Co Ni Rh N
1 2 1 1
direct
0.000 0.000 0.000
0.000 0.500 0.500
0.500 0.000 0.500
0.500 0.500 0.000
0.000 0.000 0.500
```



# 5
Density functional theory data (SCAN) for a PBEsol-optimized structure of Hf5FeTe3.

* calculated density: 10.468 g/cm3
* calculated volume: 844.6 Å³ per cell
* formation energy without anion corrections: -0.569 eV/atom
* size of the total moment: 0.00 μB per cell

Cell and atoms, written as POSCAR:
```
Hf5FeTe3
1.0
17.727 0.000 0.000
0.000 3.610 0.000
0.000 0.000 13.199
Hf Fe Te
20 4 12
direct
0.043 0.250 0.070
0.089 0.250 0.849
0.124 0.750 0.225
0.212 0.250 0.058
0.244 0.750 0.858
0.256 0.250 0.358
0.288 0.750 0.558
0.376 0.250 0.725
0.411 0.750 0.349
0.457 0.750 0.570
0.543 0.250 0.430
0.589 0.250 0.651
0.624 0.750 0.275
0.712 0.250 0.442
0.744 0.750 0.642
0.756 0.250 0.142
0.788 0.750 0.942
0.876 0.250 0.775
0.911 0.750 0.151
0.957 0.750 0.930
0.130 0.750 0.978
0.370 0.250 0.478
0.630 0.750 0.522
0.870 0.250 0.022
0.001 0.750 0.713
0.146 0.750 0.444
0.204 0.250 0.691
0.296 0.750 0.191
0.354 0.250 0.944
0.499 0.250 0.213
0.501 0.750 0.787
0.646 0.750 0.056
0.704 0.250 0.809
0.796 0.750 0.309
0.854 0.250 0.556
0.999 0.250 0.287
```



# 6
Density functional theory data (SCAN) for a PBEsol-optimized structure of Ca2CdW.

* calculated density: 6.788 g/cm3
* calculated volume: 92.1 Å³ per cell
* formation energy: 0.82 eV per atom
* size of the total moment: 2.32 μB per cell

Cell and atoms, written as POSCAR:
```
Ca2CdW
1.0
0.000 3.584 3.584
3.584 0.000 3.584
3.584 3.584 0.000
Ca Cd W
2 1 1
direct
0.000 0.000 0.000
0.250 0.250 0.250
0.750 0.750 0.750
0.500 0.500 0.500
```



# 7
Density functional theory data (SCAN) for a PBEsol-optimized structure of Nb3PtS.

* calculated density: 9.321 g/cm3
* ΔE to the lowest computed polymorph: 0.000 eV per atom
* calculated volume: 90.1 Å³ per cell
* formation energy without anion corrections: 0.072 eV/atom
* size of the total moment: 0.00 μB per cell

Cell and atoms, written as POSCAR:
```
Nb3PtS
1.0
4.483 0.000 0.000
0.000 4.483 0.000
0.000 0.000 4.483
Nb Pt S
3 1 1
direct
0.000 0.000 0.500
0.000 0.500 0.000
0.500 0.000 0.000
0.500 0.500 0.500
0.000 0.000 0.000
```



# 8
Density functional theory data (SCAN) for a PBEsol-optimized structure of RbGe2Pd2.

* calculated density: 6.396 g/cm3
* calculated volume: 115.2 Å³ per cell
* formation energy: -0.42 eV per atom
* size of the total moment: 0.00 μB per cell

Cell and atoms, written as POSCAR:
```
RbGe2Pd2
1.0
-2.064 2.064 6.759
2.064 -2.064 6.759
2.064 2.064 -6.759
Rb Ge Pd
1 2 2
direct
0.000 0.000 0.000
0.350 0.350 0.000
0.650 0.650 0.000
0.250 0.750 0.500
0.750 0.250 0.500
```